DFT (PBE) results for a relaxed structure of Ba2LiGe2.

Results
For the density of states at the Fermi level, the calculation gives 0.77 states/eV per atom. The value obtained for the energy is -34.836 eV per cell. The calculation puts the calculated volume at 151.4 Å³/f.u. The calculation puts the energy of formation at -0.48 eV/atom. The calculation puts the total moment at 0.0 μB/cell.

Structure (CIF):
```
data_Ba2LiGe2
_symmetry_space_group_name_H-M 'P 1'
_symmetry_Int_Tables_number 1
_cell_length_a 6.241
_cell_length_b 6.241
_cell_length_c 11.758
_cell_angle_alpha 114.54
_cell_angle_beta 114.54
_cell_angle_gamma 47.90
loop_
_symmetry_equiv_pos_as_xyz
'x,y,z'
loop_
_atom_site_label
_atom_site_fract_x
_atom_site_fract_y
_atom_site_fract_z
_atom_site_occupancy
Ba1 0.091 0.091 0.393 1
Ba2 0.304 0.304 0.834 1
Ba3 0.696 0.696 0.166 1
Ba4 0.909 0.909 0.607 1
Li1 0.371 0.371 0.141 1
Li2 0.629 0.629 0.859 1
Ge1 0.069 0.069 0.941 1
Ge2 0.392 0.392 0.394 1
Ge3 0.608 0.608 0.606 1
Ge4 0.931 0.931 0.059 1
```



DFT (PBE) results for a relaxed structure of Ba3LiGe.

Results
For the density of states at the Fermi level, the calculation gives 1.33 states/eV per atom. The value obtained for the energy is -12.824 eV per cell. The calculation puts the calculated volume at 277.7 Å³/f.u. The calculation puts the energy of formation at -0.10 eV/atom. The calculation puts the total moment at 0.0 μB/cell.

Structure (CIF):
```
data_Ba3LiGe
_symmetry_space_group_name_H-M 'P 1'
_symmetry_Int_Tables_number 1
_cell_length_a 6.524
_cell_length_b 6.524
_cell_length_c 6.524
_cell_angle_alpha 90.00
_cell_angle_beta 90.00
_cell_angle_gamma 90.00
loop_
_symmetry_equiv_pos_as_xyz
'x,y,z'
loop_
_atom_site_label
_atom_site_fract_x
_atom_site_fract_y
_atom_site_fract_z
_atom_site_occupancy
Ba1 0.000 0.000 0.500 1
Ba2 0.000 0.500 0.000 1
Ba3 0.500 0.000 0.000 1
Li1 0.500 0.500 0.500 1
Ge1 0.000 0.000 0.000 1
```



DFT (PBE) results for a relaxed structure of Ba2LiGe.

Results
For the density of states at the Fermi level, the calculation gives 0.49 states/eV per atom. The value obtained for the energy is -35.529 eV per cell. The calculation puts the calculated volume at 167.1 Å³/f.u. The calculation puts the energy of formation at -0.37 eV/atom. The calculation puts the total moment at 2.1 μB/cell.

Structure (CIF):
```
data_Ba2LiGe
_symmetry_space_group_name_H-M 'P 1'
_symmetry_Int_Tables_number 1
_cell_length_a 4.768
_cell_length_b 4.768
_cell_length_c 25.454
_cell_angle_alpha 90.00
_cell_angle_beta 90.00
_cell_angle_gamma 120.00
loop_
_symmetry_equiv_pos_as_xyz
'x,y,z'
loop_
_atom_site_label
_atom_site_fract_x
_atom_site_fract_y
_atom_site_fract_z
_atom_site_occupancy
Ba1 0.000 0.000 0.000 1
Ba2 0.000 0.000 0.162 1
Ba3 0.333 0.667 0.667 1
Ba4 0.333 0.667 0.829 1
Ba5 0.667 0.333 0.333 1
Ba6 0.667 0.333 0.495 1
Li1 0.000 0.000 0.415 1
Li2 0.333 0.667 0.081 1
Li3 0.667 0.333 0.748 1
Ge1 0.000 0.000 0.748 1
Ge2 0.333 0.667 0.415 1
Ge3 0.667 0.333 0.082 1
```



DFT (PBE) results for a relaxed structure of Ba3LiGe.

Results
For the density of states at the Fermi level, the calculation gives 0.92 states/eV per atom. The value obtained for the energy is -26.553 eV per cell. The calculation puts the calculated volume at 205.9 Å³/f.u. The calculation puts the energy of formation at -0.20 eV/atom. The calculation puts the total moment at 0.0 μB/cell.

Structure (CIF):
```
data_Ba3LiGe
_symmetry_space_group_name_H-M 'P 1'
_symmetry_Int_Tables_number 1
_cell_length_a 7.483
_cell_length_b 7.483
_cell_length_c 11.667
_cell_angle_alpha 109.53
_cell_angle_beta 109.53
_cell_angle_gamma 42.47
loop_
_symmetry_equiv_pos_as_xyz
'x,y,z'
loop_
_atom_site_label
_atom_site_fract_x
_atom_site_fract_y
_atom_site_fract_z
_atom_site_occupancy
Ba1 0.003 0.003 0.335 1
Ba2 0.281 0.282 0.133 1
Ba3 0.283 0.283 0.648 1
Ba4 0.717 0.717 0.352 1
Ba5 0.718 0.719 0.867 1
Ba6 0.997 0.997 0.665 1
Li1 0.251 0.749 0.000 1
Li2 0.746 0.254 0.000 1
Ge1 0.398 0.398 0.436 1
Ge2 0.602 0.602 0.564 1
```



DFT (PBE) results for a relaxed structure of Ba3Li3Ge2.

Results
For the density of states at the Fermi level, the calculation gives 0.55 states/eV per atom. The value obtained for the energy is -93.369 eV per cell. The calculation puts the calculated volume at 246.9 Å³/f.u. The calculation puts the energy of formation at -0.32 eV/atom. The calculation puts the total moment at 2.4 μB/cell.

Structure (CIF):
```
data_Ba3Li3Ge2
_symmetry_space_group_name_H-M 'P 1'
_symmetry_Int_Tables_number 1
_cell_length_a 9.172
_cell_length_b 16.769
_cell_length_c 6.420
_cell_angle_alpha 90.00
_cell_angle_beta 90.00
_cell_angle_gamma 90.00
loop_
_symmetry_equiv_pos_as_xyz
'x,y,z'
loop_
_atom_site_label
_atom_site_fract_x
_atom_site_fract_y
_atom_site_fract_z
_atom_site_occupancy
Ba1 0.047 0.097 0.134 1
Ba2 0.047 0.403 0.134 1
Ba3 0.159 0.250 0.651 1
Ba4 0.341 0.750 0.151 1
Ba5 0.453 0.597 0.634 1
Ba6 0.453 0.903 0.634 1
Ba7 0.547 0.097 0.366 1
Ba8 0.547 0.403 0.366 1
Ba9 0.659 0.250 0.849 1
Ba10 0.841 0.750 0.349 1
Ba11 0.953 0.597 0.866 1
Ba12 0.953 0.903 0.866 1
Li1 0.158 0.036 0.612 1
Li2 0.158 0.464 0.612 1
Li3 0.160 0.750 0.574 1
Li4 0.340 0.250 0.074 1
Li5 0.342 0.536 0.112 1
Li6 0.342 0.964 0.112 1
Li7 0.658 0.036 0.888 1
Li8 0.658 0.464 0.888 1
Li9 0.660 0.750 0.926 1
Li10 0.840 0.250 0.426 1
Li11 0.842 0.536 0.388 1
Li12 0.842 0.964 0.388 1
Ge1 0.128 0.600 0.360 1
Ge2 0.128 0.900 0.360 1
Ge3 0.372 0.100 0.860 1
Ge4 0.372 0.400 0.860 1
Ge5 0.628 0.600 0.140 1
Ge6 0.628 0.900 0.140 1
Ge7 0.872 0.100 0.640 1
Ge8 0.872 0.400 0.640 1
```



DFT (PBE) results for a relaxed structure of BaLiGe3.

Results
For the density of states at the Fermi level, the calculation gives 0.97 states/eV per atom. The value obtained for the energy is -12.369 eV per cell. The calculation puts the calculated volume at 200.4 Å³/f.u. The calculation puts the energy of formation at 1.06 eV/atom. The calculation puts the total moment at 0.0 μB/cell.

Structure (CIF):
```
data_BaLiGe3
_symmetry_space_group_name_H-M 'P 1'
_symmetry_Int_Tables_number 1
_cell_length_a 5.852
_cell_length_b 5.852
_cell_length_c 5.852
_cell_angle_alpha 90.00
_cell_angle_beta 90.00
_cell_angle_gamma 90.00
loop_
_symmetry_equiv_pos_as_xyz
'x,y,z'
loop_
_atom_site_label
_atom_site_fract_x
_atom_site_fract_y
_atom_site_fract_z
_atom_site_occupancy
Ba1 0.000 0.000 0.000 1
Li1 0.500 0.500 0.500 1
Ge1 0.000 0.000 0.500 1
Ge2 0.000 0.500 0.000 1
Ge3 0.500 0.000 0.000 1
```



DFT (PBE) results for a relaxed structure of BaLi3Ge3.

Results
For the density of states at the Fermi level, the calculation gives 0.47 states/eV per atom. The value obtained for the energy is -47.760 eV per cell. The calculation puts the calculated volume at 191.7 Å³/f.u. The calculation puts the energy of formation at -0.34 eV/atom. The calculation puts the total moment at 0.0 μB/cell.

Structure (CIF):
```
data_BaLi3Ge3
_symmetry_space_group_name_H-M 'P 1'
_symmetry_Int_Tables_number 1
_cell_length_a 10.455
_cell_length_b 10.455
_cell_length_c 4.049
_cell_angle_alpha 90.00
_cell_angle_beta 90.00
_cell_angle_gamma 120.00
loop_
_symmetry_equiv_pos_as_xyz
'x,y,z'
loop_
_atom_site_label
_atom_site_fract_x
_atom_site_fract_y
_atom_site_fract_z
_atom_site_occupancy
Ba1 0.333 0.667 0.250 1
Ba2 0.667 0.333 0.750 1
Li1 0.107 0.359 0.750 1
Li2 0.253 0.893 0.750 1
Li3 0.359 0.253 0.250 1
Li4 0.641 0.747 0.750 1
Li5 0.747 0.107 0.250 1
Li6 0.893 0.641 0.250 1
Ge1 0.044 0.589 0.750 1
Ge2 0.411 0.456 0.750 1
Ge3 0.456 0.044 0.250 1
Ge4 0.544 0.956 0.750 1
Ge5 0.589 0.544 0.250 1
Ge6 0.956 0.411 0.250 1
```



DFT (PBE) results for a relaxed structure of BaLiGe4.

Results
For the density of states at the Fermi level, the calculation gives 1.34 states/eV per atom. The value obtained for the energy is -23.203 eV per cell. The calculation puts the calculated volume at 140.3 Å³/f.u. The calculation puts the energy of formation at -0.15 eV/atom. The calculation puts the total moment at 0.0 μB/cell.

Structure (CIF):
```
data_BaLiGe4
_symmetry_space_group_name_H-M 'P 1'
_symmetry_Int_Tables_number 1
_cell_length_a 5.833
_cell_length_b 5.833
_cell_length_c 5.833
_cell_angle_alpha 60.00
_cell_angle_beta 60.00
_cell_angle_gamma 60.00
loop_
_symmetry_equiv_pos_as_xyz
'x,y,z'
loop_
_atom_site_label
_atom_site_fract_x
_atom_site_fract_y
_atom_site_fract_z
_atom_site_occupancy
Ba1 0.000 0.000 0.000 1
Li1 0.750 0.750 0.750 1
Ge1 0.378 0.378 0.378 1
Ge2 0.378 0.378 0.867 1
Ge3 0.378 0.867 0.378 1
Ge4 0.867 0.378 0.378 1
```